First-principles (GGA-PBE) data for a relaxed KRbHg2Bi crystal, as listed in the Alexandria database. Values from VASP.

- Calculated volume: 206 Å³ per cell
- Energy: -7.8 eV/cell
- Space-group type: Imm2, No. 44

Geometry as Quantum ESPRESSO input:
```
&SYSTEM
  ibrav = 0, nat = 5, ntyp = 4
/
ATOMIC_SPECIES
Bi 208.98 Bi.upf
K 39.10 K.upf
Hg 200.59 Hg.upf
Rb 85.47 Rb.upf
CELL_PARAMETERS angstrom
5.564 0.000 0.000
0.000 5.083 0.000
-2.782 -2.541 7.294
ATOMIC_POSITIONS angstrom
Bi 2.782 2.541 4.873
K 0.000 2.541 2.801
Hg 2.782 0.000 3.073
Rb 0.000 0.000 6.350
Hg 0.000 0.000 0.585
```

First-principles (GGA-PBE) data for a relaxed K2RbHgBi crystal, as listed in the Alexandria database. Values from VASP.

- Calculated volume: 343 Å³ per cell
- Energy: -8.3 eV/cell
- Space-group type: P4/mmm, No. 123

Geometry as Quantum ESPRESSO input:
```
&SYSTEM
  ibrav = 0, nat = 5, ntyp = 4
/
ATOMIC_SPECIES
K 39.10 K.upf
Bi 208.98 Bi.upf
Rb 85.47 Rb.upf
Hg 200.59 Hg.upf
CELL_PARAMETERS angstrom
-4.094 -4.388 -3.381
0.834 -4.645 5.018
-5.741 2.698 3.451
ATOMIC_POSITIONS angstrom
K -2.047 -2.194 -1.691
Bi 0.000 0.000 0.000
K 0.417 -2.322 2.509
Rb -2.871 1.349 1.726
Hg -4.501 -3.167 2.544
```

First-principles (GGA-PBE) data for a relaxed K2RbHgBi crystal, as listed in the Alexandria database. Values from VASP.

- Calculated volume: 257 Å³ per cell
- Energy: -8.1 eV/cell
- Space-group type: P4/mmm, No. 123

Geometry as Quantum ESPRESSO input:
```
&SYSTEM
  ibrav = 0, nat = 5, ntyp = 4
/
ATOMIC_SPECIES
Rb 85.47 Rb.upf
Hg 200.59 Hg.upf
K 39.10 K.upf
Bi 208.98 Bi.upf
CELL_PARAMETERS angstrom
-3.292 4.436 -3.567
-5.257 -3.949 -0.061
-1.975 2.553 4.998
ATOMIC_POSITIONS angstrom
Rb -5.262 1.520 0.685
Hg 0.000 0.000 0.000
K -2.629 -1.975 -0.030
K -1.646 2.218 -1.783
Bi -0.988 1.276 2.499
```

First-principles (GGA-PBE) data for a relaxed K2RbHgBi crystal, as listed in the Alexandria database. Values from VASP.

- Calculated volume: 292 Å³ per cell
- Energy: -8.0 eV/cell
- Space-group type: P4/mmm, No. 123

Geometry as Quantum ESPRESSO input:
```
&SYSTEM
  ibrav = 0, nat = 5, ntyp = 4
/
ATOMIC_SPECIES
Hg 200.59 Hg.upf
Bi 208.98 Bi.upf
Rb 85.47 Rb.upf
K 39.10 K.upf
CELL_PARAMETERS angstrom
-1.165 0.474 -6.829
-5.519 -4.162 0.653
-3.531 4.830 0.938
ATOMIC_POSITIONS angstrom
Hg -1.766 2.415 0.469
Bi 0.000 0.000 0.000
Rb -5.108 0.571 -2.619
K -0.582 0.237 -3.414
K -2.760 -2.081 0.326
```

First-principles (GGA-PBE) data for a relaxed KRbHgBi crystal, as listed in the Alexandria database. Values from VASP.

- Calculated volume: 146 Å³ per cell
- Energy: -7.2 eV/cell
- Space-group type: F-43m, No. 216

Geometry as Quantum ESPRESSO input:
```
&SYSTEM
  ibrav = 0, nat = 4, ntyp = 4
/
ATOMIC_SPECIES
Hg 200.59 Hg.upf
K 39.10 K.upf
Bi 208.98 Bi.upf
Rb 85.47 Rb.upf
CELL_PARAMETERS angstrom
5.910 0.000 0.000
2.955 5.118 0.000
2.955 1.706 4.826
ATOMIC_POSITIONS angstrom
Hg 5.910 3.412 2.413
K 0.000 0.000 0.000
Bi 8.865 5.118 3.619
Rb 2.955 1.706 1.206
```

First-principles (GGA-PBE) data for a relaxed K4Rb2HgBi2 crystal, as listed in the Alexandria database. Values from VASP.

- Calculated volume: 446 Å³ per cell
- Energy: -16.8 eV/cell
- Space-group type: C2/m, No. 12

Geometry as Quantum ESPRESSO input:
```
&SYSTEM
  ibrav = 0, nat = 9, ntyp = 4
/
ATOMIC_SPECIES
Rb 85.47 Rb.upf
Hg 200.59 Hg.upf
K 39.10 K.upf
Bi 208.98 Bi.upf
CELL_PARAMETERS angstrom
-1.040 -5.904 -0.020
3.793 -2.210 -8.001
8.568 -3.081 0.625
ATOMIC_POSITIONS angstrom
Rb 3.770 -6.081 -2.701
Hg -0.520 -2.952 -0.010
K 5.645 -7.878 -7.198
Bi 2.050 -2.679 -1.405
Bi 9.271 -8.516 -5.992
K 8.401 -8.380 -2.219
K 2.920 -2.815 -5.178
Rb 7.551 -5.114 -4.696
K 5.676 -3.318 -0.199
```

First-principles (GGA-PBE) data for a relaxed KHg2BiRh crystal, as listed in the Alexandria database. Values from VASP.

- Calculated volume: 152 Å³ per cell
- Energy: -13.5 eV/cell
- Space-group type: P4/mmm, No. 123

Geometry as Quantum ESPRESSO input:
```
&SYSTEM
  ibrav = 0, nat = 5, ntyp = 4
/
ATOMIC_SPECIES
Hg 200.59 Hg.upf
Bi 208.98 Bi.upf
Rh 102.91 Rh.upf
K 39.10 K.upf
CELL_PARAMETERS angstrom
-1.566 -5.138 -0.370
3.014 -0.600 -4.421
4.073 -1.456 2.975
ATOMIC_POSITIONS angstrom
Hg 1.507 -0.300 -2.210
Bi 2.037 -0.728 1.487
Rh 0.000 0.000 0.000
Hg -0.783 -2.569 -0.185
K 2.761 -3.597 -0.908
```

First-principles (GGA-PBE) data for a relaxed KHg2BiRu crystal, as listed in the Alexandria database. Values from VASP.

- Calculated volume: 152 Å³ per cell
- Energy: -14.6 eV/cell
- Space-group type: P4/mmm, No. 123

Geometry as Quantum ESPRESSO input:
```
&SYSTEM
  ibrav = 0, nat = 5, ntyp = 4
/
ATOMIC_SPECIES
Bi 208.98 Bi.upf
K 39.10 K.upf
Hg 200.59 Hg.upf
Ru 101.07 Ru.upf
CELL_PARAMETERS angstrom
-0.757 -4.704 -2.601
2.068 -2.680 4.244
-4.702 -0.378 2.053
ATOMIC_POSITIONS angstrom
Bi -2.351 -0.189 1.026
K -1.696 -3.881 1.848
Hg 1.034 -1.340 2.122
Hg -0.379 -2.352 -1.301
Ru 0.000 0.000 0.000
```

First-principles (GGA-PBE) data for a relaxed K2HgBiS4 crystal, as listed in the Alexandria database. Values from VASP.

- Calculated volume: 217 Å³ per cell
- Space-group type: P2/m, No. 10
- Formation energy (no corrections): -0.544 eV per atom

Geometry as Quantum ESPRESSO input:
```
&SYSTEM
  ibrav = 0, nat = 8, ntyp = 4
/
ATOMIC_SPECIES
K 39.10 K.upf
Hg 200.59 Hg.upf
S 32.06 S.upf
Bi 208.98 Bi.upf
CELL_PARAMETERS angstrom
3.951 0.000 0.000
0.000 7.879 -0.235
0.000 2.704 6.890
ATOMIC_POSITIONS angstrom
K 0.000 2.704 6.889
Hg 1.976 6.643 6.772
S 1.976 6.478 1.770
S 1.976 4.104 4.884
S 3.951 3.086 1.454
S 0.000 7.496 5.201
K 1.976 1.352 3.445
Bi 0.000 5.291 3.327
```

First-principles (GGA-PBE) data for a relaxed K4HgBi2Sb2 crystal, as listed in the Alexandria database. Values from VASP.

- Calculated volume: 336 Å³ per cell
- Space-group type: C2/m, No. 12
- Formation energy (no corrections): -0.242 eV per atom

Geometry as Quantum ESPRESSO input:
```
&SYSTEM
  ibrav = 0, nat = 9, ntyp = 4
/
ATOMIC_SPECIES
Hg 200.59 Hg.upf
K 39.10 K.upf
Sb 121.76 Sb.upf
Bi 208.98 Bi.upf
CELL_PARAMETERS angstrom
7.087 0.152 0.103
1.788 7.505 0.744
1.788 3.447 6.708
ATOMIC_POSITIONS angstrom
Hg 3.544 0.076 0.052
K 3.132 3.214 4.277
Sb 1.655 1.905 1.296
Sb 9.008 9.199 6.258
Bi 3.811 7.089 4.823
K 7.531 5.945 6.135
Bi 6.851 4.015 2.732
K 7.531 7.890 3.277
K 3.132 5.159 1.419
```

First-principles (GGA-PBE) data for a relaxed KHgBiSe3 crystal, as listed in the Alexandria database. Values from VASP.

- Calculated volume: 391 Å³ per cell
- Space-group type: P2_1/m, No. 11
- Formation energy (no corrections): -0.574 eV per atom

Geometry as Quantum ESPRESSO input:
```
&SYSTEM
  ibrav = 0, nat = 12, ntyp = 4
/
ATOMIC_SPECIES
Se 78.96 Se.upf
K 39.10 K.upf
Hg 200.59 Hg.upf
Bi 208.98 Bi.upf
CELL_PARAMETERS angstrom
-0.256 -4.213 -0.988
5.823 1.276 -6.945
6.056 -2.209 7.849
ATOMIC_POSITIONS angstrom
Se 5.673 -2.295 -5.945
Se 8.351 -2.219 2.545
Se 4.241 -4.026 1.805
K 9.129 -3.813 -0.365
K 2.494 -1.332 0.280
Se 5.950 -2.851 5.860
Hg 4.225 -2.284 3.889
Bi 4.585 -0.491 -3.845
Bi 7.038 -4.654 3.760
Se 3.272 -2.927 -2.630
Se 7.383 -1.119 -1.890
Hg 7.398 -2.862 -3.974
```

First-principles (GGA-PBE) data for a relaxed K2HgBiSe crystal, as listed in the Alexandria database. Values from VASP.

- Calculated volume: 212 Å³ per cell
- Space-group type: P4/mmm, No. 123
- Formation energy (no corrections): -0.258 eV per atom

Geometry as Quantum ESPRESSO input:
```
&SYSTEM
  ibrav = 0, nat = 5, ntyp = 4
/
ATOMIC_SPECIES
K 39.10 K.upf
Se 78.96 Se.upf
Hg 200.59 Hg.upf
Bi 208.98 Bi.upf
CELL_PARAMETERS angstrom
6.314 0.000 0.000
0.000 5.306 0.000
0.000 0.000 6.314
ATOMIC_POSITIONS angstrom
K 0.000 0.000 3.157
Se 0.000 0.000 0.000
Hg 0.000 2.653 0.000
K 3.157 0.000 0.000
Bi 3.157 2.653 3.157
```